Entry 1:
Below is a relaxed structure of MgTaCdCo, with properties calculated at the PBE-GGA level.

Structure (CIF):
```
data_MgTaCdCo
_cell_length_a 4.538
_cell_length_b 4.538
_cell_length_c 4.538
_cell_angle_alpha 60.00
_cell_angle_beta 60.00
_cell_angle_gamma 60.00
_symmetry_space_group_name_H-M 'P 1'
_symmetry_Int_Tables_number 1
loop_
_symmetry_equiv_pos_as_xyz
'x,y,z'
loop_
_atom_site_label
_atom_site_type_symbol
_atom_site_fract_x
_atom_site_fract_y
_atom_site_fract_z
_atom_site_occupancy
Cd1 Cd 0.250 0.250 0.250 1
Co1 Co 0.000 0.000 0.000 1
Mg1 Mg 0.750 0.750 0.750 1
Ta1 Ta 0.500 0.500 0.500 1
```

Properties
Polymorph energy (0 for the lowest one): 0.381 eV/atom
SG: No. 216


Entry 2:
Below is a relaxed structure of Tl3AgI5, with properties calculated at the PBE-GGA level.

Structure (CIF):
```
data_Tl3AgI5
_cell_length_a 10.649
_cell_length_b 10.649
_cell_length_c 13.452
_cell_angle_alpha 90.00
_cell_angle_beta 90.00
_cell_angle_gamma 120.00
_symmetry_space_group_name_H-M 'P 1'
_symmetry_Int_Tables_number 1
loop_
_symmetry_equiv_pos_as_xyz
'x,y,z'
loop_
_atom_site_label
_atom_site_type_symbol
_atom_site_fract_x
_atom_site_fract_y
_atom_site_fract_z
_atom_site_occupancy
Ag1 Ag 0.000 0.000 0.120 1
Ag2 Ag 0.000 0.000 0.380 1
Ag3 Ag 0.000 0.000 0.620 1
Ag4 Ag 0.000 0.000 0.880 1
I1 I 0.752 0.000 0.000 1
I2 I 0.248 0.248 0.000 1
I3 I 0.000 0.752 0.000 1
I4 I 0.333 0.667 0.103 1
I5 I 0.667 0.333 0.142 1
I6 I 0.246 0.006 0.250 1
I7 I 0.994 0.240 0.250 1
I8 I 0.760 0.754 0.250 1
I9 I 0.667 0.333 0.358 1
I10 I 0.333 0.667 0.397 1
I11 I 0.000 0.752 0.500 1
I12 I 0.752 0.000 0.500 1
I13 I 0.248 0.248 0.500 1
I14 I 0.667 0.333 0.603 1
I15 I 0.333 0.667 0.642 1
I16 I 0.006 0.246 0.750 1
I17 I 0.754 0.760 0.750 1
I18 I 0.240 0.994 0.750 1
I19 I 0.333 0.667 0.858 1
I20 I 0.667 0.333 0.897 1
Tl1 Tl 0.367 0.000 0.000 1
Tl2 Tl 0.000 0.367 0.000 1
Tl3 Tl 0.633 0.633 0.000 1
Tl4 Tl 0.356 0.388 0.250 1
Tl5 Tl 0.032 0.644 0.250 1
Tl6 Tl 0.612 0.968 0.250 1
Tl7 Tl 0.367 0.000 0.500 1
Tl8 Tl 0.000 0.367 0.500 1
Tl9 Tl 0.633 0.633 0.500 1
Tl10 Tl 0.644 0.032 0.750 1
Tl11 Tl 0.388 0.356 0.750 1
Tl12 Tl 0.968 0.612 0.750 1
```

Properties
SG: No. 190


Entry 3:
Below is a relaxed structure of DyZrCSe, with properties calculated at the PBE-GGA level.

Structure (CIF):
```
data_DyZrCSe
_cell_length_a 3.587
_cell_length_b 3.587
_cell_length_c 13.070
_cell_angle_alpha 90.00
_cell_angle_beta 90.00
_cell_angle_gamma 120.00
_symmetry_space_group_name_H-M 'P 1'
_symmetry_Int_Tables_number 1
loop_
_symmetry_equiv_pos_as_xyz
'x,y,z'
loop_
_atom_site_label
_atom_site_type_symbol
_atom_site_fract_x
_atom_site_fract_y
_atom_site_fract_z
_atom_site_occupancy
C1 C 0.000 0.000 0.009 1
C2 C 0.000 0.000 0.509 1
Dy1 Dy 0.333 0.667 0.401 1
Dy2 Dy 0.667 0.333 0.901 1
Se1 Se 0.667 0.333 0.242 1
Se2 Se 0.333 0.667 0.742 1
Zr1 Zr 0.333 0.667 0.098 1
Zr2 Zr 0.667 0.333 0.598 1
```

Properties
Polymorph energy (0 for the lowest one): 0.000 eV/atom
SG: No. 186


Entry 4:
Below is a relaxed structure of KCoTcAu, with properties calculated at the PBE-GGA level.

Structure (CIF):
```
data_KCoTcAu
_cell_length_a 4.589
_cell_length_b 4.589
_cell_length_c 4.589
_cell_angle_alpha 60.00
_cell_angle_beta 60.00
_cell_angle_gamma 60.00
_symmetry_space_group_name_H-M 'P 1'
_symmetry_Int_Tables_number 1
loop_
_symmetry_equiv_pos_as_xyz
'x,y,z'
loop_
_atom_site_label
_atom_site_type_symbol
_atom_site_fract_x
_atom_site_fract_y
_atom_site_fract_z
_atom_site_occupancy
Au1 Au 0.750 0.750 0.750 1
Co1 Co 0.500 0.500 0.500 1
K1 K 0.000 0.000 0.000 1
Tc1 Tc 0.250 0.250 0.250 1
```

Properties
Polymorph energy (0 for the lowest one): 0.118 eV/atom
SG: No. 216


Entry 5:
Below is a relaxed structure of RbZnPO, with properties calculated at the PBE-GGA level.

Structure (CIF):
```
data_RbZnPO
_cell_length_a 4.162
_cell_length_b 4.162
_cell_length_c 10.706
_cell_angle_alpha 90.00
_cell_angle_beta 90.00
_cell_angle_gamma 90.00
_symmetry_space_group_name_H-M 'P 1'
_symmetry_Int_Tables_number 1
loop_
_symmetry_equiv_pos_as_xyz
'x,y,z'
loop_
_atom_site_label
_atom_site_type_symbol
_atom_site_fract_x
_atom_site_fract_y
_atom_site_fract_z
_atom_site_occupancy
O1 O 0.750 0.250 0.000 1
O2 O 0.250 0.750 0.000 1
P1 P 0.750 0.750 0.268 1
P2 P 0.250 0.250 0.732 1
Rb1 Rb 0.750 0.250 0.500 1
Rb2 Rb 0.250 0.750 0.500 1
Zn1 Zn 0.750 0.750 0.044 1
Zn2 Zn 0.250 0.250 0.956 1
```

Properties
Polymorph energy (0 for the lowest one): 0.848 eV/atom
SG: No. 129


Entry 6:
Below is a relaxed structure of BaYW2, with properties calculated at the PBE-GGA level.

Structure (CIF):
```
data_BaYW2
_cell_length_a 5.051
_cell_length_b 5.051
_cell_length_c 5.051
_cell_angle_alpha 60.00
_cell_angle_beta 60.00
_cell_angle_gamma 60.00
_symmetry_space_group_name_H-M 'P 1'
_symmetry_Int_Tables_number 1
loop_
_symmetry_equiv_pos_as_xyz
'x,y,z'
loop_
_atom_site_label
_atom_site_type_symbol
_atom_site_fract_x
_atom_site_fract_y
_atom_site_fract_z
_atom_site_occupancy
Ba1 Ba 0.250 0.250 0.250 1
W1 W 0.500 0.500 0.500 1
W2 W 0.750 0.750 0.750 1
Y1 Y 0.000 0.000 0.000 1
```

Properties
SG: No. 216


Entry 7:
Below is a relaxed structure of CsNbNO, with properties calculated at the PBE-GGA level.

Structure (CIF):
```
data_CsNbNO
_cell_length_a 4.488
_cell_length_b 4.488
_cell_length_c 7.820
_cell_angle_alpha 90.00
_cell_angle_beta 90.00
_cell_angle_gamma 90.00
_symmetry_space_group_name_H-M 'P 1'
_symmetry_Int_Tables_number 1
loop_
_symmetry_equiv_pos_as_xyz
'x,y,z'
loop_
_atom_site_label
_atom_site_type_symbol
_atom_site_fract_x
_atom_site_fract_y
_atom_site_fract_z
_atom_site_occupancy
Cs1 Cs 0.000 0.000 0.500 1
Cs2 Cs 0.500 0.500 0.500 1
N1 N 0.500 0.000 0.274 1
N2 N 0.000 0.500 0.726 1
Nb1 Nb 0.500 0.000 0.048 1
Nb2 Nb 0.000 0.500 0.952 1
O1 O 0.000 0.000 0.000 1
O2 O 0.500 0.500 0.000 1
```

Properties
Polymorph energy (0 for the lowest one): 0.332 eV/atom
SG: No. 129


Entry 8:
Below is a relaxed structure of Ag7Bi2, with properties calculated at the PBE-GGA level.

Structure (CIF):
```
data_Ag7Bi2
_cell_length_a 3.087
_cell_length_b 3.087
_cell_length_c 31.851
_cell_angle_alpha 90.00
_cell_angle_beta 90.00
_cell_angle_gamma 120.00
_symmetry_space_group_name_H-M 'P 1'
_symmetry_Int_Tables_number 1
loop_
_symmetry_equiv_pos_as_xyz
'x,y,z'
loop_
_atom_site_label
_atom_site_type_symbol
_atom_site_fract_x
_atom_site_fract_y
_atom_site_fract_z
_atom_site_occupancy
Ag1 Ag 0.333 0.667 0.287 1
Ag2 Ag 0.000 0.000 0.358 1
Ag3 Ag 0.667 0.333 0.429 1
Ag4 Ag 0.333 0.667 0.500 1
Ag5 Ag 0.000 0.000 0.571 1
Ag6 Ag 0.667 0.333 0.642 1
Ag7 Ag 0.333 0.667 0.713 1
Bi1 Bi 0.667 0.333 0.206 1
Bi2 Bi 0.000 0.000 0.794 1
```

Properties
SG: No. 164


Entry 9:
Below is a relaxed structure of DyHoAsO, with properties calculated at the PBE-GGA level.

Structure (CIF):
```
data_DyHoAsO
_cell_length_a 4.130
_cell_length_b 7.658
_cell_length_c 5.830
_cell_angle_alpha 90.00
_cell_angle_beta 90.00
_cell_angle_gamma 90.00
_symmetry_space_group_name_H-M 'P 1'
_symmetry_Int_Tables_number 1
loop_
_symmetry_equiv_pos_as_xyz
'x,y,z'
loop_
_atom_site_label
_atom_site_type_symbol
_atom_site_fract_x
_atom_site_fract_y
_atom_site_fract_z
_atom_site_occupancy
As1 As 0.000 0.845 0.429 1
As2 As 0.000 0.155 0.929 1
Dy1 Dy 0.500 0.385 0.005 1
Dy2 Dy 0.500 0.615 0.505 1
Ho1 Ho 0.000 0.212 0.439 1
Ho2 Ho 0.000 0.788 0.939 1
O1 O 0.500 0.328 0.381 1
O2 O 0.500 0.672 0.881 1
```

Properties
Polymorph energy (0 for the lowest one): 0.008 eV/atom
SG: No. 26


Entry 10:
Below is a relaxed structure of CoRe, with properties calculated at the PBE-GGA level.

Structure (CIF):
```
data_CoRe
_cell_length_a 3.663
_cell_length_b 3.663
_cell_length_c 3.663
_cell_angle_alpha 60.00
_cell_angle_beta 60.00
_cell_angle_gamma 60.00
_symmetry_space_group_name_H-M 'P 1'
_symmetry_Int_Tables_number 1
loop_
_symmetry_equiv_pos_as_xyz
'x,y,z'
loop_
_atom_site_label
_atom_site_type_symbol
_atom_site_fract_x
_atom_site_fract_y
_atom_site_fract_z
_atom_site_occupancy
Co1 Co 0.000 0.000 0.000 1
Re1 Re 0.250 0.250 0.250 1
```

Properties
Energy relative to the elements: 1.470 eV/atom
SG: No. 216


Entry 11:
Below is a relaxed structure of GaPd2W, with properties calculated at the PBE-GGA level.

Structure (CIF):
```
data_GaPd2W
_cell_length_a 4.419
_cell_length_b 4.419
_cell_length_c 4.419
_cell_angle_alpha 60.00
_cell_angle_beta 60.00
_cell_angle_gamma 60.00
_symmetry_space_group_name_H-M 'P 1'
_symmetry_Int_Tables_number 1
loop_
_symmetry_equiv_pos_as_xyz
'x,y,z'
loop_
_atom_site_label
_atom_site_type_symbol
_atom_site_fract_x
_atom_site_fract_y
_atom_site_fract_z
_atom_site_occupancy
Ga1 Ga 0.500 0.500 0.500 1
Pd1 Pd 0.000 0.000 0.000 1
Pd2 Pd 0.750 0.750 0.750 1
W1 W 0.250 0.250 0.250 1
```

Properties
SG: No. 216


Entry 12:
Below is a relaxed structure of LuCoGePt, with properties calculated at the PBE-GGA level.

Structure (CIF):
```
data_LuCoGePt
_cell_length_a 4.527
_cell_length_b 4.527
_cell_length_c 4.527
_cell_angle_alpha 60.00
_cell_angle_beta 60.00
_cell_angle_gamma 60.00
_symmetry_space_group_name_H-M 'P 1'
_symmetry_Int_Tables_number 1
loop_
_symmetry_equiv_pos_as_xyz
'x,y,z'
loop_
_atom_site_label
_atom_site_type_symbol
_atom_site_fract_x
_atom_site_fract_y
_atom_site_fract_z
_atom_site_occupancy
Co1 Co 0.750 0.750 0.750 1
Ge1 Ge 0.000 0.000 0.000 1
Lu1 Lu 0.500 0.500 0.500 1
Pt1 Pt 0.250 0.250 0.250 1
```

Properties
Polymorph energy (0 for the lowest one): 0.000 eV/atom
SG: No. 216


In the order shown, the computed calculated total energy values come out to -4.75, -2.44, -7.61, -4.21, -2.93, -7.28, -6.87, -2.92, -6.66, -8.29, -6.57, -6.09 eV/atom.